1.
Crystalline Li4AgPb3 at its relaxed geometry. Source: Alexandria, functional PBE.

Unit cell a=22.8666 b=3.3012 c=4.7988 alpha=90.00 beta=90.51 gamma=90.00
Closest atoms and distances in Å follow each position.
Space group C2/m (No. 12)
Unique sites:
Li: 0.1022 0.0000 0.2119 x4  1 Li 2.67, 1 Ag 2.73
Li: 0.2187 0.0000 0.2451 x4  1 Li 2.67
Ag: 0.0000 0.0000 0.5000 x2  2 Li 2.73, 4 Pb 2.91
Pb: 0.0000 0.5000 0.0000 x2  4 Ag 2.91, 4 Li 3.03
Pb: 0.1499 0.5000 0.7252 x4  7 Li 3.01-3.25, 2 Pb 3.30

Summary:
The volume comes out at 362 Å³/cell. For the relative energy among the computed polymorphs, the calculation gives 122 meV/atom. As for the energy relative to the elements: -0.12 eV/atom.

2.
Crystalline Li3Ag5Pb at its relaxed geometry. Source: Alexandria, functional PBE.

Unit cell a=7.9668 b=7.9668 c=5.9421 alpha=90.00 beta=90.00 gamma=120.00
Closest atoms and distances in Å follow each position.
Space group P6_3/mcm (No. 193)
Unique sites:
Li: 0.0000 0.3324 0.2500 x6  3 Ag 2.54-2.72
Ag: 0.0000 0.3491 0.7500 x6  3 Li 2.54-2.72
Ag: 0.3333 0.6667 0.0000 x4  8 Ag 2.97-2.99, 6 Li 3.05
Pb: 0.0000 0.0000 0.0000 x2  2 Pb 2.97, 6 Li 3.04, 6 Ag 3.15

Summary:
The volume comes out at 327 Å³/cell. As for the energy relative to the elements: -0.11 eV/atom.

3.
Crystalline Li4AgPb2 at its relaxed geometry. Source: Alexandria, functional PBE.

Unit cell a=4.7255 b=4.7255 c=6.5413 alpha=90.00 beta=90.00 gamma=90.00
Closest atoms and distances in Å follow each position.
Space group P4/mmm (No. 123)
Unique sites:
Li: 0.0000 0.5000 0.2434 x4  4 Pb 2.85-2.90, 2 Ag 2.90, 1 Li 3.18
Ag: 0.0000 0.0000 0.5000 x1  8 Li 2.90
Pb: 0.0000 0.0000 0.0000 x1  8 Li 2.85
Pb: 0.5000 0.5000 0.5000 x1  8 Li 2.90

Summary:
The volume comes out at 146 Å³/cell. For the relative energy among the computed polymorphs, the calculation gives 40 meV/atom. As for the energy relative to the elements: -0.16 eV/atom.

4.
Crystalline Li2AgPdPb at its relaxed geometry. Source: Alexandria, functional PBE.

Unit cell a=5.4659 b=6.7640 c=5.1067 alpha=90.00 beta=90.00 gamma=90.00
Closest atoms and distances in Å follow each position.
Space group Pmma (No. 51)
Unique sites:
Li: 0.2500 0.2119 0.1855 x4  2 Pd 2.56, 1 Ag 2.63, 1 Li 2.87
Ag: 0.2500 0.5000 0.5299 x2  2 Li 2.63, 2 Ag 2.75, 2 Pd 2.76
Pd: 0.0000 0.5000 0.0000 x2  4 Li 2.56, 2 Pd 2.73, 2 Ag 2.76
Pb: 0.2500 0.0000 0.6950 x2  8 Li 2.89-3.15

Summary:
The volume comes out at 189 Å³/cell. As for the energy relative to the elements: -0.15 eV/atom.

5.
Crystalline Li4AgPd2Pb at its relaxed geometry. Source: Alexandria, functional PBE.

Unit cell a=4.4416 b=4.4416 c=21.7600 alpha=90.00 beta=90.00 gamma=120.00
Closest atoms and distances in Å follow each position.
Space group R-3m (No. 166, hexagonal axes)
Unique sites:
Li: 0.0000 0.0000 0.1197 x6  1 Ag 2.61, 4 Pd 2.67-2.79, 3 Pb 2.76
Li: 0.0000 0.0000 0.3704 x6  4 Pd 2.66-2.77, 3 Ag 2.69, 1 Pb 2.82
Ag: 0.0000 0.0000 0.0000 x3  8 Li 2.61-2.69
Pd: 0.0000 0.0000 0.2481 x6  8 Li 2.66-2.79
Pb: 0.0000 0.0000 0.5000 x3  8 Li 2.76-2.82

Summary:
The volume comes out at 372 Å³/cell. As for the energy relative to the elements: -0.35 eV/atom.

6.
Crystalline LiPmAgPb at its relaxed geometry. Source: Alexandria, functional PBE.

Unit cell a=7.2807 b=7.2807 c=7.2807 alpha=90.00 beta=90.00 gamma=90.00
Closest atoms and distances in Å follow each position.
Space group F-43m (No. 216)
Unique sites:
Li: 0.0000 0.0000 0.0000 x4  4 Pb 3.15, 4 Ag 3.15
Pm: 0.0000 0.0000 0.5000 x4  4 Pb 3.15, 4 Ag 3.15
Ag: 0.2500 0.2500 0.2500 x4  4 Li 3.15, 4 Pm 3.15
Pb: 0.2500 0.2500 0.7500 x4  4 Li 3.15, 4 Pm 3.15

Summary:
The volume comes out at 386 Å³/cell. As for the energy relative to the elements: -0.36 eV/atom.